No. 1
Below is a crystal of RbFeSCl2 relaxed with PBEsol, with properties calculated at the meta-GGA SCAN level.

## Properties
Raw total energy, Ha/atom: -0.5150
Formation energy from raw total energies, eV per atom: -1.124

Unit cell a=4.971 b=4.971 c=4.464 alpha=90.00 beta=90.00 gamma=90.00
Space group P4/mmm (No. 123)
Asymmetric unit:
Rb  0.000  0.000  0.000 (multiplicity 1)
Fe  0.500  0.500  0.500 (multiplicity 1)
S  0.500  0.500  0.000 (multiplicity 1)
Cl  0.000  0.500  0.500 (multiplicity 2)

No. 2
Below is a crystal of FeReCl2 relaxed with PBEsol, with properties calculated at the meta-GGA SCAN level.

## Properties
Raw total energy, Ha/atom: -0.9242
Formation energy from raw total energies, eV per atom: 1.146

Unit cell a=4.282 b=4.282 c=2.979 alpha=90.00 beta=90.00 gamma=90.00
Space group P4/mmm (No. 123)
Asymmetric unit:
Fe  0.000  0.000  0.000 (multiplicity 1)
Re  0.500  0.500  0.000 (multiplicity 1)
Cl  0.000  0.500  0.500 (multiplicity 2)

No. 3
Below is a crystal of Fe2RhCl relaxed with PBEsol, with properties calculated at the meta-GGA SCAN level.

## Properties
Raw total energy, Ha/atom: -0.7187
E above lowest polymorph, eV per atom: 0.015
Formation energy from raw total energies, eV per atom: -0.056

Unit cell a=2.961 b=2.890 c=6.762 alpha=90.00 beta=90.07 gamma=90.00
Space group Pm (No. 6)
Asymmetric unit:
Fe  0.000  0.000  0.000 (multiplicity 1)
Fe  0.500  0.500  0.206 (multiplicity 1)
Rh  0.499  0.500  0.795 (multiplicity 1)
Cl  0.512  0.000  0.477 (multiplicity 1)